Entry 1:
{
  "formula": "ZrNOF2",
  "functional": "PBE-GGA",
  "state": "relaxed",
  "magnetic_moment_mub_per_fu": 3.00,
  "e_form_raw_ev_per_atom": -1.692,
  "dft_energy_ev_per_atom": -6.8064,
  "polymorph_energy_ev_per_atom": 0.000,
  "cell": [[4.273, 0.000, 0.000], [0.000, 4.273, 0.000], [0.000, 0.000, 4.036]],
  "species": ["Zr", "N", "O", "F", "F"],
  "fractional_positions": [[0.000, 0.000, 0.000], [0.500, 0.500, 0.500], [0.000, 0.000, 0.500], [0.000, 0.500, 0.000], [0.500, 0.000, 0.000]]
}



Entry 2:
{
  "formula": "BaLiAcEu",
  "functional": "PBE-GGA",
  "state": "relaxed",
  "magnetic_moment_mub_per_fu": 8.22,
  "dft_energy_ev_per_atom": -4.3784,
  "ef_ev_per_fu": 0.71,
  "cell": [[0.000, 4.422, 4.422], [4.422, 0.000, 4.422], [4.422, 4.422, 0.000]],
  "species": ["Ba", "Li", "Ac", "Eu"],
  "fractional_positions": [[0.000, 0.000, 0.000], [0.250, 0.250, 0.250], [0.500, 0.500, 0.500], [0.750, 0.750, 0.750]]
}



Which formula does entry 2 have? BaLiAcEu